NdZn11Ag: optimized geometry, PBE-GGA.

Cell lengths 5.3292, 6.8961, 6.8901 Å; angles 81.26, 67.25, 66.86 degrees
Last column: nearest neighbours and their distance in Å.
Element x y z (fractional)
Zn 0.0000 0.5000 0.0000  8 Zn 2.62-2.79, 2 Ag 2.66
Zn 0.0074 0.3531 0.6414  7 Zn 2.59-2.87, 1 Ag 2.81
Zn 0.2740 0.2177 0.2232  8 Zn 2.59-2.87, 1 Ag 2.67
Zn 0.3512 0.6469 0.6414  7 Zn 2.59-2.87, 1 Ag 2.81
Zn 0.9926 0.6469 0.3586  7 Zn 2.59-2.87, 1 Ag 2.81
Zn 0.5000 0.0000 0.5000  10 Zn 2.59-2.78
Zn 0.6488 0.3531 0.3586  7 Zn 2.59-2.87, 1 Ag 2.81
Zn 0.7260 0.7823 0.7768  8 Zn 2.59-2.87, 1 Ag 2.67
Zn 0.4973 0.2177 0.7768  8 Zn 2.59-2.87, 1 Ag 2.67
Zn 0.5027 0.7823 0.2232  8 Zn 2.59-2.87, 1 Ag 2.67
Zn 0.0000 0.0000 0.5000  10 Zn 2.59-2.78
Ag 0.5000 0.5000 0.0000  10 Zn 2.66-2.81
Nd 0.0000 0.0000 0.0000  18 Zn 3.20-3.45, 2 Ag 3.43

Results
Electronic total energy (eV/atom): -1.84
E_form (meV per atom): -173.8
Magnetic moment (μB per formula unit): 0.0

=====

Nd4In5Si2: optimized geometry, PBE-GGA.

Cell lengths 4.3545, 7.6348, 8.8297 Å; angles 93.05, 90.00, 90.00 degrees
Last column: nearest neighbours and their distance in Å.
Element x y z (fractional)
Si 0.0000 0.0771 0.6217  1 Si 2.39
Si 0.0000 0.9229 0.3783  1 Si 2.39
In 0.0000 0.5000 0.0000  4 In 3.00-3.07, 4 Nd 3.34
In 0.0000 0.8631 0.8671  1 Si 2.78, 2 In 3.06-3.07
In 0.0000 0.4487 0.6608  1 Si 2.84, 2 In 2.99-3.00
In 0.0000 0.5513 0.3392  1 Si 2.84, 2 In 2.99-3.00
In 0.0000 0.1369 0.1329  1 Si 2.78, 2 In 3.06-3.07
Nd 0.5000 0.7958 0.1446  2 Si 3.12, 8 In 3.34-3.40
Nd 0.5000 0.2290 0.4112  4 Si 3.13-3.20, 6 In 3.33-3.47
Nd 0.5000 0.7710 0.5888  4 Si 3.13-3.20, 6 In 3.33-3.47
Nd 0.5000 0.2042 0.8554  2 Si 3.12, 8 In 3.34-3.40

Results
Electronic total energy (eV/atom): -4.48
Formation energy (no corrections) (eV/atom): -0.52
Magnetic moment (μB per formula unit): 0.0

=====

LaMoBr2: optimized geometry, PBE-GGA.

Cell lengths 6.2272, 6.2272, 5.4052 Å; angles 88.36, 88.36, 33.68 degrees
Last column: nearest neighbours and their distance in Å.
Element x y z (fractional)
Mo 0.1874 0.1874 0.3235  3 Br 2.57-2.60
La 0.5179 0.5179 0.5467  2 Mo 2.94, 5 Br 3.13-3.28
Br 0.7794 0.7794 0.5891  2 Mo 2.57
Br 0.0153 0.0153 0.0406  1 Mo 2.60

Results
Polymorph energy (0 for the lowest one) (kJ/mol of atoms): 20.1
Electronic total energy (eV/atom): -5.01
Formation energy (no corrections) (eV/atom): -0.23
Magnetic moment (μB per formula unit): 1.0

=====

Pr4Nd5Er3: optimized geometry, PBE-GGA.

Cell lengths 6.0259, 8.7806, 9.8565 Å; angles 105.94, 72.20, 69.93 degrees
Last column: nearest neighbours and their distance in Å.
Element x y z (fractional)
Pr 0.1595 0.0596 0.6214  3 Er 3.40-3.55, 3 Pr 3.65-3.72, 3 Nd 3.71-3.74
Pr 0.1405 0.7761 0.9428  2 Pr 3.38-3.72, 3 Nd 3.48-3.62, 1 Er 3.50
Pr 0.8595 0.2239 0.0572  2 Pr 3.38-3.72, 3 Nd 3.48-3.62, 1 Er 3.50
Pr 0.8405 0.9404 0.3786  3 Er 3.40-3.55, 3 Pr 3.65-3.72, 3 Nd 3.71-3.74
Nd 0.3705 0.0557 0.2032  2 Er 3.34-3.54, 2 Nd 3.52-3.74
Nd 0.6295 0.9443 0.7968  2 Er 3.34-3.54, 2 Nd 3.52-3.74
Nd 0.7834 0.5451 0.8882  4 Er 3.28-3.55, 3 Pr 3.48-3.62
Nd 0.5000 0.5000 0.5000  4 Er 3.01-3.15
Nd 0.2166 0.4549 0.1118  4 Er 3.28-3.55, 3 Pr 3.48-3.62
Er 0.0000 0.5000 0.5000  2 Nd 3.01
Er 0.4807 0.3101 0.7284  3 Nd 3.15-3.34, 2 Pr 3.40-3.50
Er 0.5193 0.6899 0.2716  3 Nd 3.15-3.34, 2 Pr 3.40-3.50

Results
Electronic total energy (eV/atom): -4.52
E_form (meV per atom): 204.5
Magnetic moment (μB per formula unit): 0.0